Li2LaDy2Sn2 | GGA-PBE | optimized geometry

Summary:
M_tot: 0.00 μB/f.u.
SG: No. 166
energy: -4.19 eV/atom
formation energy from the elements: -0.482 eV per atom

Cell and atoms, written as POSCAR:
```
Li2LaDy2Sn2
1.0
2.421 1.398 9.078
-2.421 1.398 9.078
0.000 -2.796 9.078
Li La Dy Sn
2 1 2 2
Direct
0.085 0.085 0.085 Li
0.915 0.915 0.915 Li
0.500 0.500 0.500 La
0.369 0.369 0.369 Dy
0.631 0.631 0.631 Dy
0.242 0.242 0.242 Sn
0.758 0.758 0.758 Sn
```